Entry 1:
Entry from Alexandria via LeMat-Bulk: Pm12As3Os5 after structural relaxation (PBE-GGA).

Values from the calculation:
Formation energy from the elements: -55 meV per atom
SG: No. 230

Geometry as POSCAR:
```
Pm12As3Os5
1.0
14.750 0.000 0.000
-4.917 13.906 0.000
-4.917 -6.953 12.043
Pm Os As
48 20 12
Direct
0.826 0.917 0.289
0.091 0.917 0.128
0.083 0.909 0.372
0.674 0.211 0.583
0.963 0.591 0.174
0.174 0.091 0.963
0.583 0.711 0.674
0.417 0.128 0.591
0.326 0.537 0.409
0.037 0.628 0.711
0.409 0.372 0.583
0.872 0.583 0.909
0.174 0.083 0.711
0.917 0.091 0.628
0.463 0.789 0.872
0.417 0.289 0.326
0.711 0.128 0.037
0.591 0.628 0.417
0.037 0.409 0.826
0.537 0.326 0.909
0.674 0.463 0.591
0.963 0.372 0.289
0.409 0.037 0.326
0.583 0.872 0.409
0.128 0.417 0.091
0.909 0.083 0.872
0.628 0.591 0.917
0.372 0.409 0.083
0.628 0.037 0.211
0.537 0.211 0.128
0.789 0.326 0.917
0.326 0.789 0.417
0.917 0.826 0.789
0.909 0.826 0.537
0.826 0.909 0.037
0.463 0.674 0.091
0.083 0.174 0.211
0.091 0.174 0.463
0.211 0.537 0.628
0.711 0.583 0.174
0.128 0.711 0.537
0.289 0.417 0.826
0.591 0.963 0.674
0.289 0.872 0.963
0.789 0.463 0.372
0.872 0.289 0.463
0.211 0.674 0.083
0.372 0.963 0.789
0.875 0.625 0.750
0.125 0.750 0.375
0.125 0.375 0.250
0.250 0.375 0.625
0.250 0.875 0.125
0.750 0.625 0.375
0.500 0.500 0.500
0.375 0.125 0.750
0.000 0.500 0.000
0.750 0.125 0.875
0.000 0.000 0.500
0.000 0.000 0.000
0.625 0.750 0.875
0.625 0.875 0.250
0.000 0.500 0.500
0.500 0.000 0.500
0.500 0.000 0.000
0.375 0.250 0.125
0.500 0.500 0.000
0.875 0.250 0.625
0.250 0.125 0.375
0.125 0.875 0.750
0.250 0.625 0.875
0.625 0.375 0.750
0.750 0.375 0.125
0.625 0.250 0.375
0.375 0.625 0.250
0.875 0.125 0.250
0.875 0.750 0.125
0.375 0.750 0.625
0.750 0.875 0.625
0.125 0.250 0.875
```

Entry 2:
Entry from Alexandria via LeMat-Bulk: Pm4Ga2P after structural relaxation (PBE-GGA).

Values from the calculation:
Formation energy from the elements: -746 meV per atom
SG: No. 12

Geometry as POSCAR:
```
Pm4Ga2P
1.0
-0.686 -3.418 2.598
4.810 -0.525 4.217
-2.854 2.822 6.597
Pm Ga P
4 2 1
Direct
0.917 0.796 0.371
0.678 0.733 0.912
0.083 0.204 0.629
0.322 0.267 0.088
0.379 0.585 0.657
0.621 0.415 0.343
0.000 0.000 0.000
```

Entry 3:
Entry from Alexandria via LeMat-Bulk: PrInPO6 after structural relaxation (PBE-GGA).

Values from the calculation:
DFT total energy: -6.78 eV/atom
SG: No. 149

Geometry as POSCAR:
```
PrInPO6
1.0
-0.622 1.546 4.921
-2.013 -3.257 3.512
4.576 -1.647 1.096
O Pr In P
6 1 1 1
Direct
0.602 0.062 0.297
0.336 0.062 0.703
0.336 0.602 0.297
0.062 0.336 0.297
0.602 0.336 0.703
0.062 0.602 0.703
0.000 0.000 0.000
0.667 0.667 0.500
0.333 0.333 0.500
```

Entry 4:
Entry from Alexandria via LeMat-Bulk: LiGaTeN2 after structural relaxation (PBE-GGA).

Values from the calculation:
DFT total energy: -4.00 eV/atom
SG: No. 123

Geometry as POSCAR:
```
LiGaTeN2
1.0
-1.643 -0.275 3.608
-3.520 -0.796 -1.663
1.259 -5.833 0.129
Te Ga Li N
1 1 1 2
Direct
0.000 0.000 0.500
0.000 0.000 0.000
0.500 0.500 0.500
0.000 0.500 0.000
0.500 0.000 0.000
```

Entry 5:
Entry from Alexandria via LeMat-Bulk: TlSb2Os after structural relaxation (PBE-GGA).

Values from the calculation:
DFT total energy: -4.77 eV/atom
SG: No. 225

Geometry as POSCAR:
```
TlSb2Os
1.0
0.000 3.529 3.529
3.529 0.000 3.529
3.529 3.529 0.000
Sb Tl Os
2 1 1
Direct
0.250 0.250 0.250
0.750 0.750 0.750
0.500 0.500 0.500
0.000 0.000 0.000
```

Entry 6:
Entry from Alexandria via LeMat-Bulk: CaCo4 after structural relaxation (PBE-GGA).

Values from the calculation:
Formation energy from the elements: 139 meV per atom
SG: No. 139

Geometry as POSCAR:
```
CaCo4
1.0
-5.043 -2.285 0.227
-4.275 3.055 1.760
4.165 0.442 -3.628
Ca Co
1 4
Direct
0.000 0.000 0.000
0.622 0.622 0.000
0.378 0.378 0.000
0.750 0.250 0.500
0.250 0.750 0.500
```

Entry 7:
Entry from Alexandria via LeMat-Bulk: BeTcSe2 after structural relaxation (PBE-GGA).

Values from the calculation:
DFT total energy: -4.44 eV/atom
SG: No. 216

Geometry as POSCAR:
```
BeTcSe2
1.0
4.438 0.000 0.000
2.219 3.844 0.000
2.219 1.281 3.624
Be Se Tc
1 2 1
Direct
0.500 0.500 0.500
0.250 0.250 0.250
0.000 0.000 0.000
0.750 0.750 0.750
```

DOS(E_F) in states/eV/atom, matching the order above: 0.796; 1.048; 0.685; 0.460; 0.592; 0.827; 1.177
Mass density in Mg/m³, matching the order above: 7.84; 6.51; 5.45; 4.09; 12.06; 6.09; 7.12